# 1
# NbVRe2

A geometry-optimized NbVRe2 structure (GGA-PBE, the Alexandria database).

Structure (CIF):
```
data_NbVRe2
_cell_length_a 3.713
_cell_length_b 3.713
_cell_length_c 19.730
_cell_angle_alpha 90.00
_cell_angle_beta 90.00
_cell_angle_gamma 90.00
_space_group_name_H-M_alt 'I -4 2 d'
_space_group_IT_number 122
_space_group_name_Hall 'I -4 2bw'
loop_
_atom_site_label
_atom_site_type_symbol
_atom_site_fract_x
_atom_site_fract_y
_atom_site_fract_z
_atom_site_occupancy
Nb1 Nb 0.000 0.000 0.000 1
V1 V 0.000 0.000 0.500 1
Re1 Re 0.207 0.250 0.625 1
```

## Properties
For the total energy, the calculation gives -165.0 eV per cell. As for the crystal system: tetragonal.

# 2
# Nb4VRe3

A geometry-optimized Nb4VRe3 structure (GGA-PBE, the Alexandria database).

Structure (CIF):
```
data_Nb4VRe3
_cell_length_a 3.195
_cell_length_b 3.195
_cell_length_c 12.849
_cell_angle_alpha 90.00
_cell_angle_beta 90.00
_cell_angle_gamma 90.00
_space_group_name_H-M_alt 'P 4/m m m'
_space_group_IT_number 123
_space_group_name_Hall '-P 4 2'
loop_
_atom_site_label
_atom_site_type_symbol
_atom_site_fract_x
_atom_site_fract_y
_atom_site_fract_z
_atom_site_occupancy
Nb1 Nb 0.000 0.000 0.124 1
Nb2 Nb 0.000 0.000 0.375 1
V1 V 0.500 0.500 0.000 1
Re1 Re 0.500 0.500 0.249 1
Re2 Re 0.500 0.500 0.500 1
```

## Properties
For the total energy, the calculation gives -88.6 eV per cell. As for the crystal system: tetragonal.

# 3
# Nb5VRe4

A geometry-optimized Nb5VRe4 structure (GGA-PBE, the Alexandria database).

Structure (CIF):
```
data_Nb5VRe4
_cell_length_a 3.198
_cell_length_b 3.198
_cell_length_c 16.059
_cell_angle_alpha 90.00
_cell_angle_beta 90.00
_cell_angle_gamma 90.00
_space_group_name_H-M_alt 'P 4/m m m'
_space_group_IT_number 123
_space_group_name_Hall '-P 4 2'
loop_
_atom_site_label
_atom_site_type_symbol
_atom_site_fract_x
_atom_site_fract_y
_atom_site_fract_z
_atom_site_occupancy
Nb1 Nb 0.000 0.000 0.000 1
Nb2 Nb 0.000 0.000 0.201 1
Nb3 Nb 0.000 0.000 0.401 1
V1 V 0.500 0.500 0.500 1
Re1 Re 0.500 0.500 0.100 1
Re2 Re 0.500 0.500 0.301 1
```

## Properties
For the total energy, the calculation gives -111.7 eV per cell. As for the crystal system: tetragonal.

# 4
# NbV3Re

A geometry-optimized NbV3Re structure (GGA-PBE, the Alexandria database).

Structure (CIF):
```
data_NbV3Re
_cell_length_a 12.210
_cell_length_b 9.807
_cell_length_c 5.131
_cell_angle_alpha 90.00
_cell_angle_beta 100.67
_cell_angle_gamma 90.00
_space_group_name_H-M_alt 'C 1 2/c 1'
_space_group_IT_number 15
_space_group_name_Hall '-C 2yc'
loop_
_atom_site_label
_atom_site_type_symbol
_atom_site_fract_x
_atom_site_fract_y
_atom_site_fract_z
_atom_site_occupancy
Nb1 Nb 0.086 0.091 0.030 1
V1 V 0.143 0.194 0.555 1
V2 V 0.186 0.316 0.101 1
V3 V 0.203 0.441 0.627 1
Re1 Re 0.000 0.345 0.750 1
Re2 Re 0.000 0.379 0.250 1
```

## Properties
The polymorph energy (0 for the lowest one) is 241 meV/atom. As for the crystal system: monoclinic.